{
  "formula": "AlSIO2",
  "functional": "PBE",
  "state": "relaxed",
  "lattice_angstrom": [[-1.414, 1.693, 2.952], [-1.851, -3.065, 0.871], [5.632, -2.265, 3.997]],
  "species": ["O", "Al", "S", "I", "O"],
  "frac_coords": [[0.500, 0.000, 0.000], [0.000, 0.000, 0.000], [0.500, 0.500, 0.500], [0.000, 0.000, 0.500], [0.000, 0.500, 0.000]],
  "formation_energy_uncorrected_ev_per_atom": -0.708,
  "mass_density_g_cm3": 3.67,
  "dos_at_fermi_per_ev_cell": 4.8,
  "m_tot_mub_per_cell": 0.0,
  "total_energy_ha_per_atom": -0.168
}

=====

{
  "formula": "AlSbI2O",
  "functional": "PBE",
  "state": "relaxed",
  "lattice_angstrom": [[-0.634, 3.630, 4.614], [-4.004, -3.662, 2.330], [2.550, -1.709, 1.695]],
  "species": ["I", "Al", "O", "Sb", "I"],
  "frac_coords": [[0.000, 0.500, 0.000], [0.000, 0.000, 0.000], [0.000, 0.000, 0.500], [0.500, 0.500, 0.500], [0.500, 0.000, 0.000]],
  "polymorph_energy_mev_per_atom": 0,
  "formation_energy_uncorrected_ev_per_atom": -0.624,
  "mass_density_g_cm3": 5.68,
  "dos_at_fermi_per_ev_cell": 2.5,
  "m_tot_mub_per_cell": 0.0,
  "total_energy_ha_per_atom": -0.140
}

=====

{
  "formula": "AlSb2IO",
  "functional": "PBE",
  "state": "relaxed",
  "lattice_angstrom": [[-2.864, -3.521, -2.713], [-1.400, -2.348, 4.527], [-4.204, 3.159, 0.338]],
  "species": ["Sb", "I", "Al", "O", "Sb"],
  "frac_coords": [[0.500, 0.000, 0.000], [0.000, 0.000, 0.500], [0.000, 0.000, 0.000], [0.500, 0.500, 0.500], [0.000, 0.500, 0.000]],
  "polymorph_energy_mev_per_atom": 752,
  "formation_energy_uncorrected_ev_per_atom": 0.873,
  "mass_density_g_cm3": 4.66,
  "dos_at_fermi_per_ev_cell": 7.1,
  "m_tot_mub_per_cell": 0.0,
  "total_energy_ha_per_atom": -0.104
}

=====

{
  "formula": "AlSbI2O",
  "functional": "PBE",
  "state": "relaxed",
  "lattice_angstrom": [[-6.060, 0.989, -0.874], [-1.276, -3.326, 5.077], [0.227, 3.420, 2.298]],
  "species": ["I", "I", "Sb", "O", "Al"],
  "frac_coords": [[0.000, 0.500, 0.000], [0.500, 0.000, 0.000], [0.000, 0.000, 0.000], [0.000, 0.000, 0.500], [0.500, 0.500, 0.500]],
  "polymorph_energy_mev_per_atom": 406,
  "formation_energy_uncorrected_ev_per_atom": -0.218,
  "mass_density_g_cm3": 4.38,
  "dos_at_fermi_per_ev_cell": 0.8,
  "m_tot_mub_per_cell": 0.0,
  "total_energy_ha_per_atom": -0.125
}

=====

{
  "formula": "AlSbI2O",
  "functional": "PBE",
  "state": "relaxed",
  "lattice_angstrom": [[6.343, 0.000, 0.000], [0.000, 6.343, 0.000], [0.000, 0.000, 4.028]],
  "species": ["Al", "I", "I", "O", "Sb"],
  "frac_coords": [[0.500, 0.500, 0.500], [0.000, 0.500, 0.000], [0.500, 0.000, 0.000], [0.000, 0.000, 0.000], [0.000, 0.000, 0.500]],
  "polymorph_energy_mev_per_atom": 791,
  "formation_energy_uncorrected_ev_per_atom": 0.167,
  "mass_density_g_cm3": 4.29,
  "dos_at_fermi_per_ev_cell": 2.8,
  "m_tot_mub_per_cell": 0.0,
  "total_energy_ha_per_atom": -0.111
}

=====

{
  "formula": "AlSbI2O",
  "functional": "PBE",
  "state": "relaxed",
  "lattice_angstrom": [[-5.230, -0.591, -0.818], [-0.525, -2.094, 4.869], [-0.892, 5.033, 2.068]],
  "species": ["I", "O", "Al", "Sb", "I"],
  "frac_coords": [[0.000, 0.500, 0.000], [0.500, 0.500, 0.500], [0.000, 0.000, 0.000], [0.000, 0.000, 0.500], [0.500, 0.000, 0.000]],
  "polymorph_energy_mev_per_atom": 1355,
  "formation_energy_uncorrected_ev_per_atom": 0.731,
  "mass_density_g_cm3": 4.44,
  "dos_at_fermi_per_ev_cell": 9.3,
  "m_tot_mub_per_cell": 0.0,
  "total_energy_ha_per_atom": -0.090
}

=====

{
  "formula": "AlSb2IO",
  "functional": "PBE",
  "state": "relaxed",
  "lattice_angstrom": [[-2.617, -3.667, 0.300], [3.363, -2.533, -1.628], [2.212, -1.070, 6.233]],
  "species": ["Al", "Sb", "O", "Sb", "I"],
  "frac_coords": [[0.500, 0.500, 0.500], [0.000, 0.500, 0.000], [0.000, 0.000, 0.000], [0.500, 0.000, 0.000], [0.000, 0.000, 0.500]],
  "polymorph_energy_mev_per_atom": 0,
  "formation_energy_uncorrected_ev_per_atom": 0.121,
  "mass_density_g_cm3": 5.03,
  "dos_at_fermi_per_ev_cell": 3.5,
  "m_tot_mub_per_cell": 0.0,
  "total_energy_ha_per_atom": -0.132
}

=====

{
  "formula": "ScAlI2O",
  "functional": "PBE",
  "state": "relaxed",
  "lattice_angstrom": [[-1.232, -5.709, -2.479], [3.114, -1.398, 1.673], [-3.425, -1.488, 5.129]],
  "species": ["Sc", "O", "I", "Al", "I"],
  "frac_coords": [[0.000, 0.500, 0.000], [0.000, 0.000, 0.000], [0.500, 0.000, 0.000], [0.500, 0.500, 0.500], [0.000, 0.000, 0.500]],
  "polymorph_energy_mev_per_atom": 342,
  "formation_energy_uncorrected_ev_per_atom": -0.822,
  "mass_density_g_cm3": 3.71,
  "dos_at_fermi_per_ev_cell": 0.0,
  "m_tot_mub_per_cell": 0.0,
  "total_energy_ha_per_atom": -0.163
}